Material: TlCdPb2
Method: DFT, GGA-PBE
State: optimized geometry

Geometry as POSCAR:
```
TlCdPb2
1.0
3.449 0.000 0.000
0.000 4.946 0.000
0.000 0.000 6.952
Tl Cd Pb
1 1 2
direct
0.000 0.000 0.000
0.500 0.500 0.235
0.000 0.000 0.482
0.500 0.500 0.734
```

Results
Energy relative to the lowest polymorph listed for this composition, eV/atom: 0.0164
Energy relative to the elements, meV per atom: 33
Crystal system: orthorhombic
N(E_F), states/eV/f.u.: 1.7
Magnetization, Bohr magnetons per cell: 0.00
Space group: Pmm2 (25)

***

Material: ZrAsAu
Method: DFT, GGA-PBE
State: optimized geometry

Geometry as POSCAR:
```
ZrAsAu
1.0
4.487 0.000 0.000
0.000 3.676 0.000
-2.005 0.000 7.032
Zr As Au
2 2 2
direct
0.000 0.000 0.000
0.255 0.000 0.576
0.128 0.500 0.288
0.442 0.500 0.901
0.635 0.000 0.306
0.793 0.500 0.650
```

Results
Energy relative to the elements, meV per atom: -589
Crystal system: monoclinic
N(E_F), states/eV/f.u.: 0.9
Magnetization, Bohr magnetons per cell: 0.00
Space group: Pm (6)

***

Material: MnIrCl3
Method: DFT, GGA-PBE
State: optimized geometry

Geometry as POSCAR:
```
MnIrCl3
1.0
4.834 0.000 0.000
0.000 4.834 0.000
0.000 0.000 4.834
Mn Ir Cl
1 1 3
direct
0.000 0.000 0.000
0.500 0.500 0.500
0.000 0.500 0.500
0.500 0.000 0.500
0.500 0.500 0.000
```

Results
Energy relative to the lowest polymorph listed for this composition, eV/atom: 0.0000
Crystal system: cubic
N(E_F), states/eV/f.u.: 3.4
Magnetization, Bohr magnetons per cell: 5.47
Space group: Pm-3m (221)

***

Material: Cu5Pd4
Method: DFT, GGA-PBE
State: optimized geometry

Geometry as POSCAR:
```
Cu5Pd4
1.0
-4.094 4.094 1.832
4.094 -4.094 1.832
4.094 4.094 -1.832
Cu Pd
5 4
direct
0.000 0.000 0.000
0.000 0.340 0.340
0.000 0.660 0.660
0.340 0.000 0.340
0.660 0.000 0.660
0.334 0.334 0.669
0.334 0.666 0.000
0.666 0.334 0.000
0.666 0.666 0.331
```

Results
Energy relative to the lowest polymorph listed for this composition, eV/atom: 0.0071
Energy relative to the elements, meV per atom: -83
Crystal system: tetragonal
N(E_F), states/eV/f.u.: 3.5
Magnetization, Bohr magnetons per cell: 0.00
Space group: I4/mmm (139)

***

Material: Hf2ZrSi
Method: DFT, GGA-PBE
State: optimized geometry

Geometry as POSCAR:
```
Hf2ZrSi
1.0
5.213 0.000 0.000
-2.543 4.721 0.000
-1.324 -2.323 6.536
Hf Zr Si
4 2 2
direct
0.075 0.322 0.150
0.156 0.274 0.655
0.844 0.726 0.345
0.925 0.678 0.850
0.492 0.874 0.648
0.508 0.126 0.352
0.497 0.244 0.990
0.503 0.756 0.010
```

Results
Total DFT energy (no corrections), hartree per atom: -0.32591
Crystal system: triclinic
N(E_F), states/eV/f.u.: 2.9
Magnetization, Bohr magnetons per cell: 0.00
Space group: P-1 (2)

***

Material: LuInPd4
Method: DFT, GGA-PBE
State: optimized geometry

Geometry as POSCAR:
```
LuInPd4
1.0
0.000 3.785 3.785
3.785 0.000 3.785
3.785 3.785 0.000
Lu In Pd
1 1 4
direct
0.000 0.000 0.000
0.750 0.750 0.750
0.375 0.375 0.375
0.375 0.375 0.874
0.375 0.874 0.375
0.874 0.375 0.375
```

Results
Energy relative to the elements, meV per atom: -643
Crystal system: cubic
N(E_F), states/eV/f.u.: 1.8
Magnetization, Bohr magnetons per cell: 0.00
Space group: F-43m (216)

***

| no. | V (Å³ per atom) |
| --- | --- |
| 1 | 29.65 |
| 2 | 19.33 |
| 3 | 22.59 |
| 4 | 13.65 |
| 5 | 20.11 |
| 6 | 18.07 |